First-principles (PBE) data for a geometry-optimized Na2SnH14S3O7 structure, as listed in Alexandria via LeMat-Bulk.

Cell lengths 7.1576, 9.5771, 10.3924 Å; angles 92.56, 94.19, 105.60 degrees
Last column: nearest neighbours and their distance in Å.
Space group P-1 (No. 2)
Symmetry-distinct sites (fractional):
Na 0.0887 0.4724 0.1595  5 O 2.41-2.51
Na 0.2960 0.3698 0.4450  6 O 2.39-2.54
Sn 0.4330 0.0944 0.8802  4 S 2.34-2.49
H 0.0228 0.1725 0.2546  1 O 0.99
H 0.0333 0.7469 0.0555  1 O 0.98
H 0.0531 0.8541 0.5039  1 O 0.98
H 0.0722 0.6338 0.3911  1 O 0.98
H 0.0987 0.1504 0.6129  1 O 0.99
H 0.1821 0.3437 0.9276  1 O 0.99
H 0.2163 0.1878 0.1914  1 O 0.98
H 0.2700 0.7529 0.7788  1 O 0.99
H 0.2936 0.6576 0.4107  1 O 0.99
H 0.3338 0.6608 0.8889  1 O 1.00
H 0.3564 0.5547 0.6968  1 O 1.00
H 0.4360 0.1327 0.5568  1 O 0.99
H 0.4419 0.8460 0.5640  1 O 0.99
H 0.4518 0.4307 0.7207  1 O 0.99
S 0.2634 0.9721 0.6826  6 H 2.23-2.43, 1 Sn 2.39
S 0.2674 0.9831 0.0686  2 H 2.42, 2 Sn 2.48-2.49
S 0.4984 0.3470 0.9140  3 H 2.23-2.31, 1 Sn 2.34
O 0.0434 0.2134 0.5577  2 H 0.98-0.99
O 0.0503 0.3530 0.9431  2 H 0.98-0.99
O 0.1472 0.2445 0.2418  2 H 0.98-0.99
O 0.1724 0.5830 0.3769  2 H 0.98-0.99
O 0.2521 0.6529 0.8057  2 H 0.99-1.00
O 0.4240 0.4917 0.6509  2 H 0.99-1.00
O 0.4951 0.7921 0.4991  2 H 0.99

Calculated values
magnetization	0.0	μB/f.u.
final energy	-4.737	eV/atom